[1]
! Ac2ZnSnTe5 PBE optimized geometry; values from VASP
&SYSTEM
  ibrav = 0, nat = 18, ntyp = 4
/
ATOMIC_SPECIES
Te 127.60 Te.upf
Ac 227.00 Ac.upf
Zn 65.41 Zn.upf
Sn 118.71 Sn.upf
CELL_PARAMETERS angstrom
4.5522 0.0000 0.0000
-2.2761 9.9190 0.0000
0.0000 0.0000 13.4207
ATOMIC_POSITIONS crystal
Te 0.3146 0.6292 0.3470
Te 0.2836 0.5672 0.6726
Te 0.6854 0.3708 0.8470
Te 0.5027 0.0054 0.2811
Te 0.3611 0.7222 0.9997
Te 0.7164 0.4328 0.1726
Te 0.6389 0.2778 0.4997
Te 0.0465 0.0930 0.0619
Te 0.9535 0.9070 0.5619
Te 0.4973 0.9946 0.7811
Ac 0.1107 0.2214 0.6863
Ac 0.8710 0.7420 0.8061
Ac 0.8893 0.7786 0.1863
Ac 0.1290 0.2580 0.3061
Zn 0.4370 0.8740 0.4557
Zn 0.5630 0.1260 0.9557
Sn 0.2034 0.4068 0.0136
Sn 0.7966 0.5932 0.5136
! - formation energy without anion corrections (eV per atom) = -1.035
! - symmetry = Cmc2_1

[2]
! Ac3ThSn6 PBE optimized geometry; values from VASP
&SYSTEM
  ibrav = 0, nat = 20, ntyp = 3
/
ATOMIC_SPECIES
Sn 118.71 Sn.upf
Ac 227.00 Ac.upf
Th 232.04 Th.upf
CELL_PARAMETERS angstrom
-1.3695 -6.2548 5.9947
-0.3076 -5.2071 -7.0517
8.7363 0.2739 0.7331
ATOMIC_POSITIONS crystal
Sn 0.8685 0.5881 0.5127
Sn 0.5127 0.8685 0.5881
Sn 0.9873 0.9118 0.6314
Sn 0.4119 0.4873 0.1315
Sn 0.4873 0.1315 0.4119
Sn 0.5881 0.5127 0.8685
Sn 0.9118 0.6314 0.9873
Sn 0.6314 0.9873 0.9118
Sn 0.1315 0.4119 0.4873
Sn 0.0127 0.0882 0.3686
Sn 0.3686 0.0127 0.0882
Sn 0.0882 0.3686 0.0127
Ac 0.8170 0.2500 0.6831
Ac 0.6831 0.8170 0.2500
Ac 0.2500 0.6831 0.8170
Ac 0.1830 0.7500 0.3169
Ac 0.3169 0.1830 0.7500
Ac 0.7500 0.3169 0.1830
Th 0.5000 0.5000 0.5000
Th 0.0000 0.0000 0.0000
! - symmetry = R-3c
! - D(E_F) (states/eV/f.u.) = 7.56
! - formation energy (kcal/mol of atoms) = -13.0

[3]
! Ac3ThSn12 PBE optimized geometry; values from VASP
&SYSTEM
  ibrav = 0, nat = 16, ntyp = 3
/
ATOMIC_SPECIES
Sn 118.71 Sn.upf
Ac 227.00 Ac.upf
Th 232.04 Th.upf
CELL_PARAMETERS angstrom
-0.3598 -2.4394 -4.2222
4.8385 0.3471 -0.6129
2.4002 -16.7403 9.4675
ATOMIC_POSITIONS crystal
Sn 0.0000 0.5000 0.3723
Sn 0.5000 0.0000 0.1187
Sn 0.5000 0.0000 0.3723
Sn 0.5000 0.5000 0.2465
Sn 0.0000 0.5000 0.8813
Sn 0.5000 0.0000 0.8813
Sn 0.0000 0.5000 0.6277
Sn 0.0000 0.5000 0.1187
Sn 0.5000 0.5000 0.7535
Sn 0.5000 0.5000 0.5000
Sn 0.5000 0.5000 0.0000
Sn 0.5000 0.0000 0.6277
Ac 0.0000 0.0000 0.2445
Ac 0.0000 0.0000 0.5000
Ac 0.0000 0.0000 0.7555
Th 0.0000 0.0000 0.0000
! - symmetry = P4/mmm
! - D(E_F) (states/eV/f.u.) = 8.37
! - formation energy (kcal/mol of atoms) = -11.3

[4]
! Ac12ThSn6 PBE optimized geometry; values from VASP
&SYSTEM
  ibrav = 0, nat = 19, ntyp = 3
/
ATOMIC_SPECIES
Ac 227.00 Ac.upf
Sn 118.71 Sn.upf
Th 232.04 Th.upf
CELL_PARAMETERS angstrom
9.7810 -0.8604 -1.0307
-2.3333 9.5375 -1.0307
-2.3333 -2.7184 9.1998
ATOMIC_POSITIONS crystal
Ac 0.8806 0.3295 0.0238
Ac 0.1081 0.3536 0.4340
Ac 0.5660 0.8919 0.6464
Ac 0.3536 0.4340 0.1081
Ac 0.0238 0.8806 0.3295
Ac 0.6464 0.5660 0.8919
Ac 0.4340 0.1081 0.3536
Ac 0.3295 0.0238 0.8806
Ac 0.8919 0.6464 0.5660
Ac 0.1194 0.6705 0.9762
Ac 0.6705 0.9762 0.1194
Ac 0.9762 0.1194 0.6705
Sn 0.6557 0.3348 0.2160
Sn 0.7840 0.3443 0.6652
Sn 0.6652 0.7840 0.3443
Sn 0.2160 0.6557 0.3348
Sn 0.3348 0.2160 0.6557
Sn 0.3443 0.6652 0.7840
Th 0.0000 0.0000 0.0000
! - symmetry = R-3
! - D(E_F) (states/eV/f.u.) = 25.01
! - formation energy (kcal/mol of atoms) = -5.4

[5]
! Ac2ThSn3 PBE optimized geometry; values from VASP
&SYSTEM
  ibrav = 0, nat = 12, ntyp = 3
/
ATOMIC_SPECIES
Ac 227.00 Ac.upf
Sn 118.71 Sn.upf
Th 232.04 Th.upf
CELL_PARAMETERS angstrom
8.2036 0.2056 0.3541
-1.6014 8.0694 -0.4271
-1.6014 -4.3714 6.7962
ATOMIC_POSITIONS crystal
Ac 0.2500 0.9191 0.0809
Ac 0.7500 0.0809 0.9191
Ac 0.7500 0.7594 0.2406
Ac 0.2500 0.2406 0.7594
Sn 0.4905 0.6432 0.7971
Sn 0.9905 0.7971 0.6432
Sn 0.0000 0.5000 0.0000
Sn 0.5095 0.3568 0.2029
Sn 0.0095 0.2029 0.3568
Sn 0.5000 0.0000 0.5000
Th 0.2500 0.5905 0.4095
Th 0.7500 0.4095 0.5905
! - symmetry = C2/c
! - D(E_F) (states/eV/f.u.) = 5.88
! - formation energy (kcal/mol of atoms) = -11.6

[6]
! Ac3Th2Sn3 PBE optimized geometry; values from VASP
&SYSTEM
  ibrav = 0, nat = 16, ntyp = 3
/
ATOMIC_SPECIES
Sn 118.71 Sn.upf
Th 232.04 Th.upf
Ac 227.00 Ac.upf
CELL_PARAMETERS angstrom
6.7055 0.0000 0.0000
0.0000 9.7887 0.0000
0.0000 -4.8943 8.4772
ATOMIC_POSITIONS crystal
Sn 0.7500 0.6028 0.0000
Sn 0.7500 0.3972 0.3972
Sn 0.2500 0.6028 0.6028
Sn 0.2500 0.0000 0.3972
Sn 0.7500 0.0000 0.6028
Sn 0.2500 0.3972 0.0000
Th 0.0000 0.6667 0.3333
Th 0.5000 0.6667 0.3333
Th 0.0000 0.3333 0.6667
Th 0.5000 0.3333 0.6667
Ac 0.2500 0.2497 0.2497
Ac 0.7500 0.0000 0.2497
Ac 0.7500 0.2497 0.0000
Ac 0.2500 0.7503 0.0000
Ac 0.7500 0.7503 0.7503
Ac 0.2500 0.0000 0.7503
! - symmetry = P6_3/mcm
! - D(E_F) (states/eV/f.u.) = 11.95
! - formation energy (kcal/mol of atoms) = -12.7

[7]
! AcThSn PBE optimized geometry; values from VASP
&SYSTEM
  ibrav = 0, nat = 3, ntyp = 3
/
ATOMIC_SPECIES
Sn 118.71 Sn.upf
Ac 227.00 Ac.upf
Th 232.04 Th.upf
CELL_PARAMETERS angstrom
3.8655 0.0000 0.0000
0.0000 5.5483 0.0000
0.0000 -2.7741 4.8050
ATOMIC_POSITIONS crystal
Sn 0.0856 0.0000 0.0000
Ac 0.6953 0.6667 0.3333
Th 0.2191 0.3333 0.6667
! - symmetry = P3m1
! - D(E_F) (states/eV/f.u.) = 3.33
! - formation energy (kcal/mol of atoms) = -2.6
! - ΔE to the lowest computed polymorph (eV per atom) = 0.378

[8]
! AcTh2Sn2 PBE optimized geometry; values from VASP
&SYSTEM
  ibrav = 0, nat = 10, ntyp = 3
/
ATOMIC_SPECIES
Sn 118.71 Sn.upf
Th 232.04 Th.upf
Ac 227.00 Ac.upf
CELL_PARAMETERS angstrom
-3.8576 1.6978 -3.3041
3.6467 -3.5213 -1.7270
-7.8103 -10.0324 3.9636
ATOMIC_POSITIONS crystal
Sn 0.0000 0.0000 0.1189
Sn 0.0000 0.0000 0.3811
Sn 0.0000 0.0000 0.6189
Sn 0.0000 0.0000 0.8811
Th 0.3333 0.6667 0.9668
Th 0.3333 0.6667 0.5332
Th 0.6667 0.3333 0.4668
Th 0.6667 0.3333 0.0332
Ac 0.3333 0.6667 0.2500
Ac 0.6667 0.3333 0.7500
! - symmetry = P6_3/mmc
! - D(E_F) (states/eV/f.u.) = 6.29
! - formation energy (kcal/mol of atoms) = -5.5

[9]
! Ac5ThSn6 PBE optimized geometry; values from VASP
&SYSTEM
  ibrav = 0, nat = 12, ntyp = 3
/
ATOMIC_SPECIES
Sn 118.71 Sn.upf
Ac 227.00 Ac.upf
Th 232.04 Th.upf
CELL_PARAMETERS angstrom
8.0994 0.3654 0.0000
2.6282 7.8173 0.0000
1.3141 3.9086 7.3651
ATOMIC_POSITIONS crystal
Sn 0.7627 0.0768 0.3194
Sn 0.7510 0.7697 0.0000
Sn 0.2373 0.9232 0.6806
Sn 0.2373 0.6038 0.3194
Sn 0.7627 0.3962 0.6806
Sn 0.2490 0.2303 0.0000
Ac 0.0000 0.3360 0.3280
Ac 0.5000 0.5000 0.0000
Ac 0.5000 0.8253 0.3494
Ac 0.0000 0.6640 0.6720
Ac 0.5000 0.1747 0.6506
Th 0.0000 0.0000 0.0000
! - symmetry = C2/m
! - D(E_F) (states/eV/f.u.) = 13.55
! - formation energy (kcal/mol of atoms) = -11.7